First-principles (GGA-PBE) data for a geometry-optimized La2C3N6 structure, as listed in Alexandria.

ΔE_f (raw) in eV per atom: -0.80
Theoretical density in Mg/m³: 4.0
SG: No. 12
Spin magnetization in μB/atom: 0.00
E_tot in eV per cell: -96.268

a b c (Å): 7.8959 7.8959 5.3857
angles (deg): 96.91 96.91 30.11
Sites, in units of the cell vectors:
La (0.1352, 0.1352, 0.0725)
La (0.8648, 0.8648, 0.9275)
C (0.0000, 0.0000, 0.5000)
C (0.3283, 0.3283, 0.4078)
C (0.6717, 0.6717, 0.5922)
N (0.0091, 0.0091, 0.7309)
N (0.3114, 0.3114, 0.1748)
N (0.3423, 0.3423, 0.6364)
N (0.6577, 0.6577, 0.3636)
N (0.6886, 0.6886, 0.8252)
N (0.9909, 0.9909, 0.2691)